1.
The following is a DFT calculation (PBE) of a geometry-optimized Gd2DySc3OsS2 structure.

* total DFT energy (no corrections): -60.5 eV/f.u.
* M_tot: 0.004 μB/atom

```
Gd2DySc3OsS2
1.0
3.899 0.000 0.000
0.000 6.544 3.756
0.000 -6.544 3.756
Gd Dy Sc Os S
2 1 3 1 2
Direct
0.000 0.207 0.793
0.000 0.793 0.207
0.000 0.384 0.384
0.500 0.034 0.034
0.500 0.550 0.796
0.500 0.796 0.550
0.000 0.786 0.786
0.500 0.128 0.460
0.500 0.460 0.128
```

---

2.
The following is a DFT calculation (PBE) of a geometry-optimized GdDy2Sc3OsSe2 structure.

* total DFT energy (no corrections): -59.0 eV/f.u.
* M_tot: 0.008 μB/atom

```
GdDy2Sc3OsSe2
1.0
3.924 0.000 0.000
0.000 6.635 3.863
0.000 -6.635 3.863
Gd Dy Sc Os Se
1 2 3 1 2
Direct
0.000 0.000 0.000
0.000 0.192 0.594
0.000 0.594 0.192
0.500 0.354 0.354
0.500 0.596 0.832
0.500 0.832 0.596
0.000 0.586 0.586
0.500 0.262 0.927
0.500 0.927 0.262
```

---

3.
The following is a DFT calculation (PBE) of a geometry-optimized Gd2DySc3OsSe2 structure.

* total DFT energy (no corrections): -59.1 eV/f.u.
* M_tot: 0.006 μB/atom

```
Gd2DySc3OsSe2
1.0
3.931 0.000 0.000
0.000 6.697 3.842
0.000 -6.697 3.842
Gd Dy Sc Os Se
2 1 3 1 2
Direct
0.000 0.203 0.797
0.000 0.797 0.203
0.000 0.395 0.395
0.500 0.032 0.032
0.500 0.560 0.799
0.500 0.799 0.560
0.000 0.790 0.790
0.500 0.132 0.464
0.500 0.464 0.132
```

---

4.
The following is a DFT calculation (PBE) of a geometry-optimized GdDy2Sc3Te2Os structure.

* total DFT energy (no corrections): -57.3 eV/f.u.
* M_tot: 0.003 μB/atom

```
GdDy2Sc3Te2Os
1.0
4.026 0.000 0.000
0.000 6.879 3.983
0.000 -6.879 3.983
Gd Dy Sc Te Os
1 2 3 2 1
Direct
0.000 0.000 0.000
0.000 0.218 0.608
0.000 0.608 0.218
0.500 0.376 0.376
0.500 0.609 0.838
0.500 0.838 0.609
0.500 0.276 0.941
0.500 0.941 0.276
0.000 0.603 0.603
```

---

5.
The following is a DFT calculation (PBE) of a geometry-optimized GdDy2Tm3OsSe2 structure.

* total DFT energy (no corrections): -52.9 eV/f.u.
* M_tot: 0.000 μB/atom

```
GdDy2Tm3OsSe2
1.0
3.979 0.000 0.000
0.000 6.870 4.006
0.000 -6.870 4.006
Gd Dy Tm Os Se
1 2 3 1 2
Direct
0.000 0.000 0.000
0.000 0.404 0.805
0.000 0.805 0.404
0.500 0.160 0.403
0.500 0.403 0.160
0.500 0.650 0.650
0.000 0.410 0.410
0.500 0.071 0.737
0.500 0.737 0.071
```

---

6.
The following is a DFT calculation (PBE) of a geometry-optimized GdDy2Tm3Te2Os structure.

* total DFT energy (no corrections): -51.5 eV/f.u.
* M_tot: 0.000 μB/atom

```
GdDy2Tm3Te2Os
1.0
4.056 0.000 0.000
0.000 7.106 4.127
0.000 -7.106 4.127
Gd Dy Tm Te Os
1 2 3 2 1
Direct
0.000 0.000 0.000
0.000 0.393 0.783
0.000 0.783 0.393
0.500 0.156 0.393
0.500 0.393 0.156
0.500 0.630 0.630
0.500 0.059 0.725
0.500 0.725 0.059
0.000 0.396 0.396
```

---

7.
The following is a DFT calculation (PBE) of a geometry-optimized GdDy2P3 structure.

* total DFT energy (no corrections): -39.8 eV/f.u.
* M_tot: 0.002 μB/atom

```
GdDy2P3
1.0
4.022 0.000 0.000
-2.011 3.483 0.000
0.000 0.000 9.840
Gd Dy P
1 2 3
Direct
0.000 0.000 0.000
0.333 0.667 0.334
0.667 0.333 0.666
0.000 0.000 0.500
0.333 0.667 0.831
0.667 0.333 0.169
```

---

8.
The following is a DFT calculation (PBE) of a geometry-optimized Gd2DyP3 structure.

* total DFT energy (no corrections): -39.8 eV/f.u.
* M_tot: 0.002 μB/atom

```
Gd2DyP3
1.0
4.036 0.000 0.000
-2.018 3.496 0.000
0.000 0.000 9.876
Gd Dy P
2 1 3
Direct
0.333 0.667 0.332
0.667 0.333 0.668
0.000 0.000 0.000
0.000 0.000 0.500
0.333 0.667 0.835
0.667 0.333 0.165
```

---

- Which of these has the highest M_tot?
  GdDy2Sc3OsSe2

---

- Which value of M_tot does entry 8 give?
  0.002 μB/atom

---

- Which formula does entry 5 have?
  GdDy2Tm3OsSe2